Compound: KGdSeO
Source: OQMD
Functional: PBE
Structure: relaxed

Structure (CIF):
```
data_KGdSeO
_chemical_formula_sum 'K4 Gd4 Se4 O4'
_space_group_name_H-M_alt 'P 1 21/c 1'
_space_group_IT_number 14
_space_group_name_Hall '-P 2ybc'
_cell_length_a 7.800
_cell_length_b 7.525
_cell_length_c 6.609
_cell_angle_alpha 90.00
_cell_angle_beta 102.30
_cell_angle_gamma 90.00
loop_
_atom_site_label
_atom_site_fract_x
_atom_site_fract_y
_atom_site_fract_z
K1 0.090 0.227 0.493
Gd1 0.473 0.627 0.776
Se1 0.239 0.588 0.352
O1 0.405 0.149 0.384
```

Computed properties:
As for the calculated volume: 379.0 Å³ per cell. The total energy is -92.84 eV per cell.


Compound: KGdSeO
Source: OQMD
Functional: PBE
Structure: relaxed

Structure (CIF):
```
data_KGdSeO
_chemical_formula_sum 'K3 Gd3 Se3 O3'
_space_group_name_H-M_alt 'R 3 m'
_space_group_IT_number 160
_space_group_name_Hall 'R 3 -2"'
_cell_length_a 3.8172
_cell_length_b 3.8172
_cell_length_c 21.3285
_cell_angle_alpha 90.00
_cell_angle_beta 90.00
_cell_angle_gamma 120.00
loop_
_atom_site_label
_atom_site_fract_x
_atom_site_fract_y
_atom_site_fract_z
K1 0.0000 0.0000 0.0000
Gd1 0.0000 0.0000 0.5219
Se1 0.0000 0.0000 0.7701
O1 0.0000 0.0000 0.2331
```

Computed properties:
As for the calculated volume: 269.1 Å³ per cell. The total energy is -67.91 eV per cell.


Compound: KGdSeO
Source: OQMD
Functional: PBE
Structure: relaxed

Structure (CIF):
```
data_KGdSeO
_chemical_formula_sum 'K4 Gd4 Se4 O4'
_space_group_name_H-M_alt 'P 1 21 1'
_space_group_IT_number 4
_space_group_name_Hall 'P 2yb'
_cell_length_a 5.843
_cell_length_b 5.847
_cell_length_c 11.573
_cell_angle_alpha 90.00
_cell_angle_beta 104.47
_cell_angle_gamma 90.00
loop_
_atom_site_label
_atom_site_fract_x
_atom_site_fract_y
_atom_site_fract_z
K1 0.047 0.000 0.103
K2 0.449 0.999 0.898
Gd1 0.047 0.258 0.593
Gd2 0.453 0.259 0.407
Se1 0.102 0.500 0.211
Se2 0.401 0.499 0.789
O1 0.250 0.008 0.500
O2 0.250 0.509 0.500
```

Computed properties:
As for the calculated volume: 382.8 Å³ per cell. The total energy is -92.89 eV per cell.


Compound: KGdTe2O6
Source: OQMD
Functional: PBE
Structure: relaxed

Structure (CIF):
```
data_KGdTe2O6
_chemical_formula_sum 'K4 Gd4 Te8 O24'
_space_group_name_H-M_alt 'C 1 2/c 1'
_space_group_IT_number 15
_space_group_name_Hall '-C 2yc'
_cell_length_a 10.042
_cell_length_b 10.518
_cell_length_c 6.849
_cell_angle_alpha 90.00
_cell_angle_beta 104.25
_cell_angle_gamma 90.00
loop_
_atom_site_label
_atom_site_fract_x
_atom_site_fract_y
_atom_site_fract_z
K1 0.000 0.081 0.250
Gd1 0.000 0.296 0.750
Te1 0.184 0.383 0.323
O1 0.101 0.294 0.086
O2 0.126 0.132 0.667
O3 0.158 0.449 0.721
```

Computed properties:
As for the calculated volume: 701.1 Å³ per cell. The total energy is -240.74 eV per cell.


Compound: KGdOs
Source: OQMD
Functional: PBE
Structure: relaxed

Structure (CIF):
```
data_KGdOs
_chemical_formula_sum 'K4 Gd4 Os4'
_space_group_name_H-M_alt 'F -4 3 m'
_space_group_IT_number 216
_space_group_name_Hall 'F -4 2 3'
_cell_length_a 6.941
_cell_length_b 6.941
_cell_length_c 6.941
_cell_angle_alpha 90.00
_cell_angle_beta 90.00
_cell_angle_gamma 90.00
loop_
_atom_site_label
_atom_site_fract_x
_atom_site_fract_y
_atom_site_fract_z
K1 0.000 0.000 0.000
Gd1 0.000 0.000 0.500
Os1 0.250 0.250 0.750
```

Computed properties:
As for the calculated volume: 334.3 Å³ per cell. The total energy is -55.58 eV per cell.


Compound: KGdOsS4
Source: OQMD
Functional: PBE
Structure: relaxed

Structure (CIF):
```
data_KGdOsS4
_chemical_formula_sum 'K2 Gd2 Os2 S8'
_space_group_name_H-M_alt 'P 1 21 1'
_space_group_IT_number 4
_space_group_name_Hall 'P 2yb'
_cell_length_a 6.591
_cell_length_b 6.535
_cell_length_c 8.671
_cell_angle_alpha 90.00
_cell_angle_beta 109.59
_cell_angle_gamma 90.00
loop_
_atom_site_label
_atom_site_fract_x
_atom_site_fract_y
_atom_site_fract_z
K1 0.237 0.000 0.048
Gd1 0.208 0.987 0.546
Os1 0.285 0.469 0.355
S1 0.000 0.243 0.290
S2 0.017 0.722 0.291
S3 0.434 0.550 0.168
S4 0.489 0.634 0.590
```

Computed properties:
As for the calculated volume: 351.8 Å³ per cell. The total energy is -80.72 eV per cell.


Compound: K3Gd3P4S16
Source: OQMD
Functional: PBE
Structure: relaxed

Structure (CIF):
```
data_K3Gd3P4S16
_chemical_formula_sum 'K12 Gd12 P16 S64'
_space_group_name_H-M_alt 'C 1 2/c 1'
_space_group_IT_number 15
_space_group_name_Hall '-C 2yc'
_cell_length_a 16.090
_cell_length_b 11.688
_cell_length_c 14.682
_cell_angle_alpha 90.00
_cell_angle_beta 91.08
_cell_angle_gamma 90.00
loop_
_atom_site_label
_atom_site_fract_x
_atom_site_fract_y
_atom_site_fract_z
K1 0.000 0.000 0.000
K2 0.209 0.180 0.336
Gd1 0.000 0.251 0.750
Gd2 0.130 0.383 0.011
P1 0.080 0.318 0.524
P2 0.185 0.148 0.861
S1 0.005 0.264 0.418
S2 0.019 0.437 0.604
S3 0.091 0.051 0.805
S4 0.110 0.185 0.609
S5 0.157 0.317 0.829
S6 0.184 0.396 0.475
S7 0.187 0.134 0.001
S8 0.201 0.396 0.186
```

Computed properties:
As for the calculated volume: 2760.7 Å³ per cell. The total energy is -533.10 eV per cell.


Compound: K4Gd3Pb3
Source: OQMD
Functional: PBE
Structure: relaxed

Structure (CIF):
```
data_K4Gd3Pb3
_chemical_formula_sum 'K8 Gd6 Pb6'
_space_group_name_H-M_alt 'C m m m'
_space_group_IT_number 65
_space_group_name_Hall '-C 2 2'
_cell_length_a 4.877
_cell_length_b 31.312
_cell_length_c 4.568
_cell_angle_alpha 90.00
_cell_angle_beta 90.00
_cell_angle_gamma 90.00
loop_
_atom_site_label
_atom_site_fract_x
_atom_site_fract_y
_atom_site_fract_z
K1 0.000 0.102 0.000
K2 0.000 0.398 0.500
Gd1 0.000 0.000 0.500
Gd2 0.000 0.209 0.500
Pb1 0.000 0.299 0.000
Pb2 0.000 0.500 0.000
```

Computed properties:
As for the calculated volume: 697.5 Å³ per cell. The total energy is -59.78 eV per cell.


Compound: KGd3Pb6
Source: OQMD
Functional: PBE
Structure: relaxed

Structure (CIF):
```
data_KGd3Pb6
_chemical_formula_sum 'K2 Gd6 Pb12'
_space_group_name_H-M_alt 'C m m m'
_space_group_IT_number 65
_space_group_name_Hall '-C 2 2'
_cell_length_a 4.827
_cell_length_b 25.701
_cell_length_c 4.845
_cell_angle_alpha 90.00
_cell_angle_beta 90.00
_cell_angle_gamma 90.00
loop_
_atom_site_label
_atom_site_fract_x
_atom_site_fract_y
_atom_site_fract_z
K1 0.000 0.000 0.000
Gd1 0.000 0.312 0.500
Gd2 0.000 0.500 0.500
Pb1 0.000 0.096 0.500
Pb2 0.000 0.208 0.000
Pb3 0.000 0.403 0.000
```

Computed properties:
As for the calculated volume: 601.1 Å³ per cell. The total energy is -79.92 eV per cell.


Compound: KGdPbS4
Source: OQMD
Functional: PBE
Structure: relaxed

Structure (CIF):
```
data_KGdPbS4
_chemical_formula_sum 'K2 Gd2 Pb2 S8'
_space_group_name_H-M_alt 'P 1 21 1'
_space_group_IT_number 4
_space_group_name_Hall 'P 2yb'
_cell_length_a 6.907
_cell_length_b 6.912
_cell_length_c 8.842
_cell_angle_alpha 90.00
_cell_angle_beta 108.42
_cell_angle_gamma 90.00
loop_
_atom_site_label
_atom_site_fract_x
_atom_site_fract_y
_atom_site_fract_z
K1 0.226 0.000 0.437
Gd1 0.281 0.003 0.951
Pb1 0.265 0.522 0.174
S1 0.026 0.642 0.912
S2 0.040 0.562 0.339
S3 0.458 0.278 0.787
S4 0.489 0.746 0.794
```

Computed properties:
As for the calculated volume: 400.5 Å³ per cell. The total energy is -66.16 eV per cell.


Compound: KGdTe3Pd
Source: OQMD
Functional: PBE
Structure: relaxed

Structure (CIF):
```
data_KGdTe3Pd
_chemical_formula_sum 'K4 Gd4 Te12 Pd4'
_space_group_name_H-M_alt 'C m c m'
_space_group_IT_number 63
_space_group_name_Hall '-C 2c 2'
_cell_length_a 4.448
_cell_length_b 17.671
_cell_length_c 10.173
_cell_angle_alpha 90.00
_cell_angle_beta 90.00
_cell_angle_gamma 90.00
loop_
_atom_site_label
_atom_site_fract_x
_atom_site_fract_y
_atom_site_fract_z
K1 0.000 0.245 0.250
Gd1 0.000 0.000 0.000
Te1 0.000 0.099 0.750
Te2 0.000 0.386 0.589
Pd1 0.000 0.494 0.250
```

Computed properties:
As for the calculated volume: 799.6 Å³ per cell. The total energy is -105.00 eV per cell.


Compound: KPmGd
Source: OQMD
Functional: PBE
Structure: relaxed

Structure (CIF):
```
data_KPmGd
_chemical_formula_sum 'K4 Pm4 Gd4'
_space_group_name_H-M_alt 'F -4 3 m'
_space_group_IT_number 216
_space_group_name_Hall 'F -4 2 3'
_cell_length_a 8.384
_cell_length_b 8.384
_cell_length_c 8.384
_cell_angle_alpha 90.00
_cell_angle_beta 90.00
_cell_angle_gamma 90.00
loop_
_atom_site_label
_atom_site_fract_x
_atom_site_fract_y
_atom_site_fract_z
K1 0.000 0.000 0.000
Pm1 0.250 0.250 0.750
Gd1 0.000 0.000 0.500
```

Computed properties:
As for the calculated volume: 589.3 Å³ per cell. The total energy is -28.04 eV per cell.